Compound: ErZrBi
Source: OQMD via LeMat-Bulk
Functional: PBE
Structure: relaxed

Summary:
- Crystal system: cubic
- Raw total energy: -17.2 eV for the cell shown
- Magnetic moment: 0.95 μB per formula unit

Cell lengths 4.9887, 4.9887, 4.9887 Å; angles 60.00, 60.00, 60.00 degrees
With the nearest neighbours (Å) after each atom.
Sites, in units of the cell vectors:
Er: 0.0000 0.0000 0.0000  4 Bi 3.05
Zr: 0.5000 0.5000 0.5000  4 Bi 3.05
Bi: 0.2500 0.2500 0.2500  4 Zr 3.05, 4 Er 3.05

---

Compound: TaNiBPd
Source: OQMD via LeMat-Bulk
Functional: PBE
Structure: relaxed

Summary:
- Crystal system: cubic
- Excess energy over the best structure of this formula in the dataset: 0.000 eV per atom
- Raw total energy: -29.1 eV for the cell shown
- Magnetic moment: 0.00 μB per formula unit

Cell lengths 4.1271, 4.1271, 4.1271 Å; angles 60.00, 60.00, 60.00 degrees
With the nearest neighbours (Å) after each atom.
Sites, in units of the cell vectors:
Ta: 0.0000 0.0000 0.0000  4 Ni 2.53, 4 B 2.53
Ni: 0.7500 0.7500 0.7500  4 Ta 2.53, 4 Pd 2.53
B: 0.2500 0.2500 0.2500  4 Ta 2.53, 4 Pd 2.53
Pd: 0.5000 0.5000 0.5000  4 Ni 2.53, 4 B 2.53

---

Compound: Zr2BiAu
Source: OQMD via LeMat-Bulk
Functional: PBE
Structure: relaxed

Summary:
- Crystal system: cubic
- Raw total energy: -23.8 eV for the cell shown
- Magnetic moment: 1.72 μB per formula unit

Cell lengths 5.0818, 5.0818, 5.0818 Å; angles 60.00, 60.00, 60.00 degrees
With the nearest neighbours (Å) after each atom.
Sites, in units of the cell vectors:
Zr: 0.0000 0.0000 0.0000  4 Au 3.11, 4 Zr 3.11
Zr: 0.2500 0.2500 0.2500  4 Bi 3.11, 4 Zr 3.11
Bi: 0.5000 0.5000 0.5000  4 Au 3.11, 4 Zr 3.11
Au: 0.7500 0.7500 0.7500  4 Bi 3.11, 4 Zr 3.11

---

Compound: Na2SrCoH6
Source: OQMD via LeMat-Bulk
Functional: PBE
Structure: relaxed

Summary:
- Crystal system: cubic
- Raw total energy: -32.6 eV for the cell shown
- Magnetic moment: 0.07 μB per formula unit

Cell lengths 5.4616, 5.4616, 5.4616 Å; angles 60.00, 60.00, 60.00 degrees
With the nearest neighbours (Å) after each atom.
Sites, in units of the cell vectors:
Na: 0.2500 0.2500 0.2500  12 H 2.75
Na: 0.7500 0.7500 0.7500  12 H 2.75
Sr: 0.0000 0.0000 0.0000  6 H 2.29
Co: 0.5000 0.5000 0.5000  6 H 1.57
H: 0.2968 0.2968 0.7032  1 Co 1.57
H: 0.2968 0.7032 0.2968  1 Co 1.57
H: 0.2968 0.7032 0.7032  1 Co 1.57
H: 0.7032 0.2968 0.2968  1 Co 1.57
H: 0.7032 0.2968 0.7032  1 Co 1.57
H: 0.7032 0.7032 0.2968  1 Co 1.57

---

Compound: PmNiBi
Source: OQMD via LeMat-Bulk
Functional: PBE
Structure: relaxed

Summary:
- Crystal system: cubic
- Excess energy over the best structure of this formula in the dataset: 0.845 eV per atom
- Raw total energy: -13.9 eV for the cell shown
- Magnetic moment: 0.53 μB per formula unit

Cell lengths 4.9756, 4.9756, 4.9756 Å; angles 60.00, 60.00, 60.00 degrees
With the nearest neighbours (Å) after each atom.
Sites, in units of the cell vectors:
Pm: 0.0000 0.0000 0.0000  4 Bi 3.05, 4 Ni 3.05
Ni: 0.2500 0.2500 0.2500  4 Pm 3.05
Bi: 0.7500 0.7500 0.7500  4 Pm 3.05

---

Compound: GaNiAu
Source: OQMD via LeMat-Bulk
Functional: PBE
Structure: relaxed

Summary:
- Crystal system: cubic
- Raw total energy: -11.7 eV for the cell shown
- Magnetic moment: 0.00 μB per formula unit

Cell lengths 4.2025, 4.2025, 4.2025 Å; angles 60.00, 60.00, 60.00 degrees
With the nearest neighbours (Å) after each atom.
Sites, in units of the cell vectors:
Ga: 0.0000 0.0000 0.0000  4 Au 2.57
Ni: 0.5000 0.5000 0.5000  4 Au 2.57
Au: 0.2500 0.2500 0.2500  4 Ni 2.57, 4 Ga 2.57

---

Among the records above, which one has the lowest raw total energy?
Na2SrCoH6

---

Repeat the sixth record exactly.
Compound: GaNiAu
Source: OQMD via LeMat-Bulk
Functional: PBE
Structure: relaxed

Summary:
- Crystal system: cubic
- Raw total energy: -11.7 eV for the cell shown
- Magnetic moment: 0.00 μB per formula unit

Cell lengths 4.2025, 4.2025, 4.2025 Å; angles 60.00, 60.00, 60.00 degrees
With the nearest neighbours (Å) after each atom.
Sites, in units of the cell vectors:
Ga: 0.0000 0.0000 0.0000  4 Au 2.57
Ni: 0.5000 0.5000 0.5000  4 Au 2.57
Au: 0.2500 0.2500 0.2500  4 Ni 2.57, 4 Ga 2.57

---

What is the formula in the second record?
TaNiBPd

---

Look up the magnetic moment of the first one.
0.95 μB per formula unit